1.
This record from Alexandria describes a relaxed CdTcO4 crystal. The functional is GGA-PBE.

Calculated values
DOS at the Fermi energy = 2.45 states/eV/f.u.
Total DFT energy (no corrections) = -6.428 eV/atom
Raw formation energy = -120 kJ per mole of atoms
Magnetization = 0.0 μB/cell

Unit cell a=6.9198 b=6.9198 c=6.9198 alpha=135.95 beta=135.95 gamma=64.06
Last column: nearest neighbours and their distance in Å.
Fractional coordinates of all 12 atoms:
Cd 0.3750 0.1250 0.2500  8 O 2.40-2.53
Cd 0.6250 0.8750 0.7500  8 O 2.40-2.53
Tc 0.1250 0.3750 0.7500  4 O 1.79
Tc 0.8750 0.6250 0.2500  4 O 1.79
O 0.0451 0.2096 0.3435  1 Tc 1.79
O 0.2016 0.5451 0.3355  1 Tc 1.79
O 0.2904 0.1339 0.8355  1 Tc 1.79
O 0.3661 0.7016 0.1565  1 Tc 1.79
O 0.6339 0.2984 0.8435  1 Tc 1.79
O 0.7096 0.8661 0.1645  1 Tc 1.79
O 0.7984 0.4549 0.6645  1 Tc 1.79
O 0.9549 0.7904 0.6565  1 Tc 1.79

***

2.
This record from Alexandria describes a relaxed CdTc2O crystal. The functional is GGA-PBE.

Calculated values
DOS at the Fermi energy = 4.29 states/eV/f.u.
Total DFT energy (no corrections) = -5.575 eV/atom
Raw formation energy = 104 kJ per mole of atoms
Magnetization = 1.8 μB/cell

Unit cell a=6.1347 b=6.1347 c=6.1347 alpha=90.00 beta=90.00 gamma=90.00
Last column: nearest neighbours and their distance in Å.
Fractional coordinates of all 16 atoms:
Cd 0.0000 0.0000 0.0000  8 Tc 2.66
Cd 0.0000 0.5000 0.5000  8 Tc 2.66
Cd 0.5000 0.0000 0.5000  8 Tc 2.66
Cd 0.5000 0.5000 0.0000  8 Tc 2.66
Tc 0.2500 0.2500 0.2500  4 O 2.66, 4 Cd 2.66
Tc 0.2500 0.2500 0.7500  4 O 2.66, 4 Cd 2.66
Tc 0.2500 0.7500 0.2500  4 O 2.66, 4 Cd 2.66
Tc 0.2500 0.7500 0.7500  4 O 2.66, 4 Cd 2.66
Tc 0.7500 0.2500 0.2500  4 O 2.66, 4 Cd 2.66
Tc 0.7500 0.2500 0.7500  4 O 2.66, 4 Cd 2.66
Tc 0.7500 0.7500 0.2500  4 O 2.66, 4 Cd 2.66
Tc 0.7500 0.7500 0.7500  4 Cd 2.66, 4 O 2.66
O 0.0000 0.0000 0.5000  8 Tc 2.66
O 0.0000 0.5000 0.0000  8 Tc 2.66
O 0.5000 0.0000 0.0000  8 Tc 2.66
O 0.5000 0.5000 0.5000  8 Tc 2.66

***

3.
This record from Alexandria describes a relaxed Cd2Tc2O7 crystal. The functional is GGA-PBE.

Calculated values
Total DFT energy (no corrections) = -6.471 eV/atom
Raw formation energy = -122 kJ per mole of atoms
Magnetization = 0.0 μB/cell

Unit cell a=5.9029 b=5.9029 c=5.4289 alpha=95.17 beta=95.17 gamma=113.24
Last column: nearest neighbours and their distance in Å.
Fractional coordinates of all 11 atoms:
Cd 0.1889 0.8111 0.0000  6 O 2.28-2.44
Cd 0.8111 0.1889 0.0000  6 O 2.28-2.44
Tc 0.2454 0.2454 0.6074  4 O 1.84-1.90
Tc 0.7546 0.7546 0.3926  4 O 1.84-1.90
O 0.0698 0.0698 0.2914  1 Tc 1.90
O 0.1167 0.4314 0.7905  1 Tc 1.84
O 0.4314 0.1167 0.7905  1 Tc 1.84
O 0.5000 0.5000 0.5000  2 Tc 1.84
O 0.5686 0.8833 0.2095  1 Tc 1.84
O 0.8833 0.5686 0.2095  1 Tc 1.84
O 0.9302 0.9302 0.7086  1 Tc 1.90

***

4.
This record from Alexandria describes a relaxed Cd3TcO crystal. The functional is GGA-PBE.

Calculated values
DOS at the Fermi energy = 5.45 states/eV/f.u.
Total DFT energy (no corrections) = -2.446 eV/atom
Raw formation energy = 113 kJ per mole of atoms
Magnetization = 3.9 μB/cell

Unit cell a=5.3389 b=5.3389 c=5.3389 alpha=90.00 beta=90.00 gamma=90.00
Last column: nearest neighbours and their distance in Å.
Fractional coordinates of all 5 atoms:
Cd 0.0000 0.0000 0.5000  2 Tc 2.67
Cd 0.0000 0.5000 0.0000  2 Tc 2.67
Cd 0.5000 0.0000 0.0000  2 Tc 2.67
Tc 0.0000 0.0000 0.0000  6 Cd 2.67
O 0.5000 0.5000 0.5000  12 Cd 3.78

***

5.
This record from Alexandria describes a relaxed Cd4Tc6O19 crystal. The functional is GGA-PBE.

Calculated values
DOS at the Fermi energy = 11.39 states/eV/f.u.
Total DFT energy (no corrections) = -6.719 eV/atom
Raw formation energy = -116 kJ per mole of atoms
Magnetization = 0.0 μB/cell

Unit cell a=7.9063 b=7.9063 c=7.9063 alpha=109.47 beta=109.47 gamma=109.47
Last column: nearest neighbours and their distance in Å.
Fractional coordinates of all 29 atoms:
Cd 0.0000 0.0000 0.7174  4 O 2.23-2.34
Cd 0.0000 0.7174 0.0000  4 O 2.23-2.34
Cd 0.2826 0.2826 0.2826  4 O 2.23-2.34
Cd 0.7174 0.0000 0.0000  4 O 2.23-2.34
Tc 0.1716 0.6716 0.5000  6 O 1.92-2.00
Tc 0.3284 0.5000 0.8284  6 O 1.92-2.00
Tc 0.5000 0.1716 0.6716  6 O 1.92-2.00
Tc 0.5000 0.8284 0.3284  6 O 1.92-2.00
Tc 0.6716 0.5000 0.1716  6 O 1.92-2.00
Tc 0.8284 0.3284 0.5000  6 O 1.92-2.00
O 0.0000 0.0000 0.0000  4 Cd 2.23
O 0.0000 0.3712 0.3712  2 Tc 1.96
O 0.0000 0.6288 0.6288  2 Tc 1.96
O 0.0406 0.2925 0.6851  2 Tc 1.92-2.00
O 0.2519 0.9594 0.6445  2 Tc 1.92-2.00
O 0.2925 0.6851 0.0406  2 Tc 1.92-2.00
O 0.3149 0.6073 0.3555  2 Tc 1.92-2.00
O 0.3555 0.3149 0.6073  2 Tc 1.92-2.00
O 0.3712 0.0000 0.3712  2 Tc 1.96
O 0.3712 0.3712 0.0000  2 Tc 1.96
O 0.3927 0.7075 0.7481  2 Tc 1.92-2.00
O 0.6073 0.3555 0.3149  2 Tc 1.92-2.00
O 0.6288 0.0000 0.6288  2 Tc 1.96
O 0.6288 0.6288 0.0000  2 Tc 1.96
O 0.6445 0.2519 0.9594  2 Tc 1.92-2.00
O 0.6851 0.0406 0.2925  2 Tc 1.92-2.00
O 0.7075 0.7481 0.3927  2 Tc 1.92-2.00
O 0.7481 0.3927 0.7075  2 Tc 1.92-2.00
O 0.9594 0.6445 0.2519  2 Tc 1.92-2.00

***

6.
This record from Alexandria describes a relaxed CdTcTeO6 crystal. The functional is GGA-PBE.

Calculated values
DOS at the Fermi energy = 3.62 states/eV/f.u.
Total DFT energy (no corrections) = -6.037 eV/atom
Raw formation energy = -109 kJ per mole of atoms
Magnetization = 2.0 μB/cell

Unit cell a=5.3649 b=5.3649 c=9.6078 alpha=90.00 beta=90.00 gamma=120.00
Last column: nearest neighbours and their distance in Å.
Fractional coordinates of all 18 atoms:
Cd 0.0000 0.0000 0.0000  6 O 2.36
Cd 0.0000 0.0000 0.5000  6 O 2.36
Tc 0.3333 0.6667 0.2500  6 O 1.97
Tc 0.6667 0.3333 0.7500  6 O 1.97
Te 0.3333 0.6667 0.7500  6 O 2.07
Te 0.6667 0.3333 0.2500  6 O 2.07
O 0.0129 0.3699 0.1387  1 Tc 1.97, 1 Te 2.07
O 0.0129 0.6430 0.3613  1 Tc 1.97, 1 Te 2.07
O 0.3570 0.3699 0.3613  1 Tc 1.97, 1 Te 2.07
O 0.3570 0.9871 0.1387  1 Tc 1.97, 1 Te 2.07
O 0.3699 0.0129 0.6387  1 Tc 1.97, 1 Te 2.07
O 0.3699 0.3570 0.8613  1 Tc 1.97, 1 Te 2.07
O 0.6301 0.6430 0.1387  1 Tc 1.97, 1 Te 2.07
O 0.6301 0.9871 0.3613  1 Tc 1.97, 1 Te 2.07
O 0.6430 0.0129 0.8613  1 Tc 1.97, 1 Te 2.07
O 0.6430 0.6301 0.6387  1 Tc 1.97, 1 Te 2.07
O 0.9871 0.3570 0.6387  1 Tc 1.97, 1 Te 2.07
O 0.9871 0.6301 0.8613  1 Tc 1.97, 1 Te 2.07